Here is a relaxed MnBr2O crystal from the Alexandria database. Energies are from PBE+U.

The calculation puts the total energy at -3.78 eV per atom. For the total magnetic moment, the calculation gives 3.00 μB/f.u.

Structure (CIF):
```
data_MnBr2O
_cell_length_a 6.792
_cell_length_b 6.792
_cell_length_c 6.792
_cell_angle_alpha 90.00
_cell_angle_beta 90.00
_cell_angle_gamma 90.00
_symmetry_space_group_name_H-M 'F m -3 m'
_symmetry_Int_Tables_number 225
_symmetry_space_group_name_Hall '-F 4 2 3'
loop_
_atom_site_label
_atom_site_type_symbol
_atom_site_fract_x
_atom_site_fract_y
_atom_site_fract_z
Mn1 Mn 0.000 0.000 0.000
Br1 Br 0.250 0.250 0.250
O1 O 0.000 0.000 0.500
```